# BaNd2Ag (PBE, optimized geometry)
data_BaNd2Ag
_symmetry_space_group_name_H-M 'C 1 m 1'
_symmetry_Int_Tables_number 8
_symmetry_space_group_name_Hall 'C -2y'
_cell_length_a 8.741
_cell_length_b 5.058
_cell_length_c 7.588
_cell_angle_alpha 90.00
_cell_angle_beta 112.67
_cell_angle_gamma 90.00
loop_
_atom_site_label
_atom_site_fract_x
_atom_site_fract_y
_atom_site_fract_z
Ba1 0.000 0.000 0.000
Nd1 0.053 0.500 0.663
Nd2 0.286 0.500 0.362
Ag1 0.180 0.000 0.544
# energy relative to the elements: 0.13 eV per atom
# spin magnetization: 0.00 μB/cell
# polymorph energy (0 for the lowest one): 0.1281 eV/atom
# calculated total energy: -3.4436 eV/atom

---

# GeO (PBE, optimized geometry)
data_GeO
_symmetry_space_group_name_H-M 'P 42/m n m'
_symmetry_Int_Tables_number 136
_symmetry_space_group_name_Hall '-P 4n 2n'
_cell_length_a 5.265
_cell_length_b 5.265
_cell_length_c 5.223
_cell_angle_alpha 90.00
_cell_angle_beta 90.00
_cell_angle_gamma 90.00
loop_
_atom_site_label
_atom_site_fract_x
_atom_site_fract_y
_atom_site_fract_z
Ge1 0.191 0.191 0.000
O1 0.173 0.827 0.000
# ΔE_f (raw): -0.861 eV/atom
# spin magnetization: 0.00 μB/cell
# calculated total energy: -5.6487 eV/atom

---

# Cs2MgBe2Se4 (PBE, optimized geometry)
data_Cs2MgBe2Se4
_symmetry_space_group_name_H-M 'C 1 2/m 1'
_symmetry_Int_Tables_number 12
_symmetry_space_group_name_Hall '-C 2y'
_cell_length_a 15.449
_cell_length_b 3.911
_cell_length_c 8.222
_cell_angle_alpha 90.00
_cell_angle_beta 107.81
_cell_angle_gamma 90.00
loop_
_atom_site_label
_atom_site_fract_x
_atom_site_fract_y
_atom_site_fract_z
Cs1 0.130 0.000 0.034
Mg1 0.000 0.000 0.500
Be1 0.175 0.500 0.476
Se1 0.034 0.500 0.300
Se2 0.205 0.000 0.642
# ΔE_f (raw): -1.023 eV/atom
# spin magnetization: 0.00 μB/cell
# calculated total energy: -3.7661 eV/atom

---

# NaBeBi3 (PBE, optimized geometry)
data_NaBeBi3
_symmetry_space_group_name_H-M 'P m -3 m'
_symmetry_Int_Tables_number 221
_symmetry_space_group_name_Hall '-P 4 2 3'
_cell_length_a 5.259
_cell_length_b 5.259
_cell_length_c 5.259
_cell_angle_alpha 90.00
_cell_angle_beta 90.00
_cell_angle_gamma 90.00
loop_
_atom_site_label
_atom_site_fract_x
_atom_site_fract_y
_atom_site_fract_z
Na1 0.000 0.000 0.000
Be1 0.500 0.500 0.500
Bi1 0.000 0.500 0.500
# energy relative to the elements: 0.26 eV per atom
# spin magnetization: 0.00 μB/cell
# polymorph energy (0 for the lowest one): 0.0000 eV/atom
# calculated total energy: -3.0811 eV/atom

---

# AlCd2Pb (PBE, optimized geometry)
data_AlCd2Pb
_symmetry_space_group_name_H-M 'R 3 m'
_symmetry_Int_Tables_number 160
_symmetry_space_group_name_Hall 'R 3 -2"'
_cell_length_a 3.1929
_cell_length_b 3.1929
_cell_length_c 33.0526
_cell_angle_alpha 90.00
_cell_angle_beta 90.00
_cell_angle_gamma 120.00
loop_
_atom_site_label
_atom_site_fract_x
_atom_site_fract_y
_atom_site_fract_z
Al1 0.0000 0.0000 0.0000
Cd1 0.0000 0.0000 0.2629
Cd2 0.0000 0.0000 0.5125
Pb1 0.0000 0.0000 0.7520
# energy relative to the elements: 0.13 eV per atom
# spin magnetization: 0.00 μB/cell
# polymorph energy (0 for the lowest one): 0.0213 eV/atom
# calculated total energy: -2.1871 eV/atom

---

# BaYTc4 (PBE, optimized geometry)
data_BaYTc4
_symmetry_space_group_name_H-M 'F -4 3 m'
_symmetry_Int_Tables_number 216
_symmetry_space_group_name_Hall 'F -4 2 3'
_cell_length_a 7.824
_cell_length_b 7.824
_cell_length_c 7.824
_cell_angle_alpha 90.00
_cell_angle_beta 90.00
_cell_angle_gamma 90.00
loop_
_atom_site_label
_atom_site_fract_x
_atom_site_fract_y
_atom_site_fract_z
Ba1 0.000 0.000 0.000
Y1 0.250 0.250 0.250
Tc1 0.124 0.124 0.624
# energy relative to the elements: 0.44 eV per atom
# spin magnetization: 0.00 μB/cell
# calculated total energy: -7.8640 eV/atom

---

# Na2Mn2Fe (PBE, optimized geometry)
data_Na2Mn2Fe
_symmetry_space_group_name_H-M 'I 4/m m m'
_symmetry_Int_Tables_number 139
_symmetry_space_group_name_Hall '-I 4 2'
_cell_length_a 3.487
_cell_length_b 3.487
_cell_length_c 13.717
_cell_angle_alpha 90.00
_cell_angle_beta 90.00
_cell_angle_gamma 90.00
loop_
_atom_site_label
_atom_site_fract_x
_atom_site_fract_y
_atom_site_fract_z
Na1 0.000 0.500 0.250
Mn1 0.000 0.000 0.069
Fe1 0.000 0.000 0.500
# energy relative to the elements: 1.14 eV per atom
# spin magnetization: 9.28 μB/cell
# polymorph energy (0 for the lowest one): 0.3216 eV/atom
# calculated total energy: -4.7504 eV/atom

---

# PmY2Zn2 (PBE, optimized geometry)
data_PmY2Zn2
_symmetry_space_group_name_H-M 'P 1 21/m 1'
_symmetry_Int_Tables_number 11
_symmetry_space_group_name_Hall '-P 2yb'
_cell_length_a 3.642
_cell_length_b 5.236
_cell_length_c 13.455
_cell_angle_alpha 90.00
_cell_angle_beta 97.78
_cell_angle_gamma 90.00
loop_
_atom_site_label
_atom_site_fract_x
_atom_site_fract_y
_atom_site_fract_z
Pm1 0.144 0.250 0.286
Y1 0.047 0.750 0.093
Y2 0.232 0.750 0.464
Zn1 0.360 0.250 0.720
Zn2 0.453 0.750 0.906
# energy relative to the elements: -0.26 eV per atom
# spin magnetization: 0.00 μB/cell
# polymorph energy (0 for the lowest one): 0.0000 eV/atom
# calculated total energy: -4.3094 eV/atom

---

# CsSmMnI6 (PBE, optimized geometry)
data_CsSmMnI6
_symmetry_space_group_name_H-M 'P 3 1 2'
_symmetry_Int_Tables_number 149
_symmetry_space_group_name_Hall 'P 3 2'
_cell_length_a 7.8165
_cell_length_b 7.8165
_cell_length_c 8.7265
_cell_angle_alpha 90.00
_cell_angle_beta 90.00
_cell_angle_gamma 120.00
loop_
_atom_site_label
_atom_site_fract_x
_atom_site_fract_y
_atom_site_fract_z
Cs1 0.0000 0.0000 0.0000
Sm1 0.3333 0.6667 0.5000
Mn1 0.6667 0.3333 0.5000
I1 0.3801 0.0166 0.6984
# ΔE_f (raw): -1.116 eV/atom
# spin magnetization: 5.00 μB/cell
# calculated total energy: -3.7872 eV/atom

---

# SrCdRh (PBE, optimized geometry)
data_SrCdRh
_symmetry_space_group_name_H-M 'I m m a'
_symmetry_Int_Tables_number 74
_symmetry_space_group_name_Hall '-I 2b 2'
_cell_length_a 6.007
_cell_length_b 6.027
_cell_length_c 7.594
_cell_angle_alpha 90.00
_cell_angle_beta 90.00
_cell_angle_gamma 90.00
loop_
_atom_site_label
_atom_site_fract_x
_atom_site_fract_y
_atom_site_fract_z
Sr1 0.000 0.250 0.146
Cd1 0.250 0.250 0.750
Rh1 0.000 0.000 0.500
# energy relative to the elements: -0.30 eV per atom
# spin magnetization: 0.00 μB/cell
# calculated total energy: -3.6205 eV/atom

---

# CeThIrAu (PBE, optimized geometry)
data_CeThIrAu
_symmetry_space_group_name_H-M 'R 3 m'
_symmetry_Int_Tables_number 160
_symmetry_space_group_name_Hall 'R 3 -2"'
_cell_length_a 4.1576
_cell_length_b 4.1576
_cell_length_c 21.5055
_cell_angle_alpha 90.00
_cell_angle_beta 90.00
_cell_angle_gamma 120.00
loop_
_atom_site_label
_atom_site_fract_x
_atom_site_fract_y
_atom_site_fract_z
Ce1 0.0000 0.0000 0.0000
Th1 0.0000 0.0000 0.8110
Ir1 0.0000 0.0000 0.4061
Au1 0.0000 0.0000 0.5724
# energy relative to the elements: -0.74 eV per atom
# spin magnetization: 1.49 μB/cell
# polymorph energy (0 for the lowest one): 0.0000 eV/atom
# calculated total energy: -7.1125 eV/atom

---

# Ac2Nd6Sm5 (PBE, optimized geometry)
data_Ac2Nd6Sm5
_symmetry_space_group_name_H-M 'P b a m'
_symmetry_Int_Tables_number 55
_symmetry_space_group_name_Hall '-P 2 2ab'
_cell_length_a 12.189
_cell_length_b 20.952
_cell_length_c 3.726
_cell_angle_alpha 90.00
_cell_angle_beta 90.00
_cell_angle_gamma 90.00
loop_
_atom_site_label
_atom_site_fract_x
_atom_site_fract_y
_atom_site_fract_z
Ac1 0.167 0.220 0.000
Nd1 0.058 0.925 0.000
Nd2 0.074 0.637 0.000
Nd3 0.183 0.379 0.500
Sm1 0.000 0.500 0.500
Sm2 0.093 0.782 0.500
Sm3 0.202 0.054 0.500
# energy relative to the elements: 0.10 eV per atom
# spin magnetization: 0.00 μB/cell
# calculated total energy: -4.5463 eV/atom

---

Q: The highest calculated total energy belongs to which entry?
A: AlCd2Pb

---

Q: Number 2 is which compound?
A: GeO

---

Q: spin magnetization of number 9 (CsSmMnI6)?
A: 5.00 μB/cell